{"formula": "NdSm4Er", "functional": "PBE-GGA", "state": "relaxed", "lattice_angstrom": [[5.6204, -2.9613, 0.0000], [5.6204, 2.9613, 0.0000], [-0.0311, 0.0000, 6.0551]], "species": ["Nd", "Sm", "Sm", "Sm", "Sm", "Er"], "fractional_positions": [[0.0000, 0.0000, 0.0000], [0.1733, 0.1733, 0.4589], [0.3276, 0.3276, 0.9579], [0.6724, 0.6724, 0.0421], [0.8267, 0.8267, 0.5411], [0.5000, 0.5000, 0.5000]], "rho_g_cm3": 7.52, "e_above_lowest_polymorph_kj_per_mol_atoms": 0.0, "total_magnetization_mub_per_fu": 0.0, "sg": "C2/m (12)"}

---

{"formula": "NdSm4Er8", "functional": "PBE-GGA", "state": "relaxed", "lattice_angstrom": [[7.7691, 0.0000, 0.0000], [0.0000, 7.7691, 0.0000], [0.0000, 0.0000, 7.7691]], "species": ["Nd", "Sm", "Sm", "Sm", "Sm", "Er", "Er", "Er", "Er", "Er", "Er", "Er", "Er"], "fractional_positions": [[0.0000, 0.0000, 0.0000], [0.0000, 0.0000, 0.5000], [0.0000, 0.5000, 0.0000], [0.5000, 0.0000, 0.0000], [0.5000, 0.5000, 0.5000], [0.2607, 0.2607, 0.2607], [0.2607, 0.2607, 0.7393], [0.2607, 0.7393, 0.2607], [0.2607, 0.7393, 0.7393], [0.7393, 0.2607, 0.2607], [0.7393, 0.2607, 0.7393], [0.7393, 0.7393, 0.2607], [0.7393, 0.7393, 0.7393]], "rho_g_cm3": 7.38, "total_magnetization_mub_per_fu": 1.5, "sg": "Pm-3m (221)"}

---

{"formula": "Nd4SmEr5", "functional": "PBE-GGA", "state": "relaxed", "lattice_angstrom": [[-5.3334, 5.3334, 2.9821], [5.3334, -5.3334, 2.9821], [5.3334, 5.3334, -2.9821]], "species": ["Nd", "Nd", "Nd", "Nd", "Sm", "Er", "Er", "Er", "Er", "Er"], "fractional_positions": [[0.0000, 0.3244, 0.3244], [0.0000, 0.6756, 0.6756], [0.3244, 0.0000, 0.3244], [0.6756, 0.0000, 0.6756], [0.7447, 0.7447, 0.0000], [0.2201, 0.2201, 0.0000], [0.2914, 0.2914, 0.6219], [0.2914, 0.6695, 0.0000], [0.6695, 0.2914, 0.0000], [0.6695, 0.6695, 0.3781]], "rho_g_cm3": 7.65, "e_above_lowest_polymorph_kj_per_mol_atoms": 4.6, "total_magnetization_mub_per_fu": 0.0, "sg": "I4mm (107)"}

---

{"formula": "Nd4SmEr", "functional": "PBE-GGA", "state": "relaxed", "lattice_angstrom": [[2.5817, -7.7282, 0.0000], [2.5817, 7.7282, 0.0000], [0.0000, 0.0000, 5.1536]], "species": ["Nd", "Nd", "Nd", "Nd", "Sm", "Er"], "fractional_positions": [[0.1650, 0.8350, 0.0000], [0.3344, 0.6656, 0.5000], [0.6656, 0.3344, 0.5000], [0.8350, 0.1650, 0.0000], [0.5000, 0.5000, 0.0000], [0.0000, 0.0000, 0.5000]], "rho_g_cm3": 7.22, "e_above_lowest_polymorph_kj_per_mol_atoms": 0.0, "total_magnetization_mub_per_fu": 0.0, "sg": "Cmmm (65)"}

---

{"formula": "NdSmEr3", "functional": "PBE-GGA", "state": "relaxed", "lattice_angstrom": [[3.6323, 0.0000, 0.0000], [0.0000, 11.5651, 0.0000], [-1.8094, 0.0000, 8.3721]], "species": ["Nd", "Nd", "Sm", "Sm", "Er", "Er", "Er", "Er", "Er", "Er"], "fractional_positions": [[0.1888, 0.2500, 0.3782], [0.8112, 0.7500, 0.6218], [0.4857, 0.7500, 0.9704], [0.5143, 0.2500, 0.0296], [0.1498, 0.7500, 0.2990], [0.3425, 0.0026, 0.6861], [0.3425, 0.4974, 0.6861], [0.6575, 0.5026, 0.3139], [0.6575, 0.9974, 0.3139], [0.8502, 0.2500, 0.7010]], "rho_g_cm3": 7.52, "e_above_lowest_polymorph_kj_per_mol_atoms": 29.1, "total_magnetization_mub_per_fu": 0.0, "sg": "P2_1/m (11)"}

---

{"formula": "Nd4Sm6Er", "functional": "PBE-GGA", "state": "relaxed", "lattice_angstrom": [[-3.3637, 3.3637, 8.5687], [3.3637, -3.3637, 8.5687], [3.3637, 3.3637, -8.5687]], "species": ["Nd", "Nd", "Nd", "Nd", "Sm", "Sm", "Sm", "Sm", "Sm", "Sm", "Er"], "fractional_positions": [[0.0130, 0.6343, 0.0000], [0.3657, 0.3657, 0.3787], [0.6343, 0.0130, 0.0000], [0.9870, 0.9870, 0.6213], [0.0000, 0.5000, 0.5000], [0.1990, 0.1990, 0.6472], [0.4481, 0.8010, 0.0000], [0.5000, 0.0000, 0.5000], [0.5519, 0.5519, 0.3528], [0.8010, 0.4481, 0.0000], [0.0000, 0.0000, 0.0000]], "rho_g_cm3": 7.05, "e_above_lowest_polymorph_kj_per_mol_atoms": 0.0, "total_magnetization_mub_per_fu": 0.0, "sg": "I-42m (121)"}

---

{"formula": "Nd7Sm2Er3", "functional": "PBE-GGA", "state": "relaxed", "lattice_angstrom": [[6.2520, 0.0000, 0.0000], [0.0000, 5.5142, 0.0000], [-0.0600, 0.0000, 12.5036]], "species": ["Nd", "Nd", "Nd", "Nd", "Nd", "Nd", "Nd", "Sm", "Sm", "Er", "Er", "Er"], "fractional_positions": [[0.0000, 0.0000, 0.0000], [0.0827, 0.5000, 0.1711], [0.2415, 0.5000, 0.4548], [0.4441, 0.0000, 0.1811], [0.5559, 0.0000, 0.8189], [0.7585, 0.5000, 0.5452], [0.9173, 0.5000, 0.8289], [0.3956, 0.5000, 0.7212], [0.6044, 0.5000, 0.2788], [0.0644, 0.0000, 0.6553], [0.5000, 0.5000, 0.0000], [0.9356, 0.0000, 0.3447]], "rho_g_cm3": 6.98, "e_above_lowest_polymorph_kj_per_mol_atoms": 19.0, "total_magnetization_mub_per_fu": 0.0, "sg": "P2/m (10)"}

---

{"formula": "Nd12Sm5Er2", "functional": "PBE-GGA", "state": "relaxed", "lattice_angstrom": [[9.6063, -3.7648, 0.0000], [9.6063, 3.7648, 0.0000], [-4.3866, 0.0000, 9.1713]], "species": ["Nd", "Nd", "Nd", "Nd", "Nd", "Nd", "Nd", "Nd", "Nd", "Nd", "Nd", "Nd", "Sm", "Sm", "Sm", "Sm", "Sm", "Er", "Er"], "fractional_positions": [[0.0071, 0.0071, 0.3249], [0.0911, 0.5897, 0.1486], [0.0928, 0.5763, 0.4993], [0.4103, 0.9089, 0.8514], [0.4237, 0.9072, 0.5007], [0.4915, 0.4915, 0.7838], [0.5085, 0.5085, 0.2162], [0.5763, 0.0928, 0.4993], [0.5897, 0.0911, 0.1486], [0.9072, 0.4237, 0.5007], [0.9089, 0.4103, 0.8514], [0.9929, 0.9929, 0.6751], [0.1779, 0.1779, 0.1979], [0.3239, 0.3239, 0.8277], [0.5000, 0.5000, 0.5000], [0.6761, 0.6761, 0.1723], [0.8221, 0.8221, 0.8021], [0.2026, 0.7974, 0.0000], [0.7974, 0.2026, 0.0000]], "rho_g_cm3": 7.05, "e_above_lowest_polymorph_kj_per_mol_atoms": 4.2, "total_magnetization_mub_per_fu": 0.0, "sg": "C2/m (12)"}

---

Number 1: calculated formation energy 0.68 eV per formula unit. Number 2: calculated formation energy 6.79 eV per formula unit. Number 3: calculated formation energy 2.43 eV per formula unit. Number 4: calculated formation energy 0.10 eV per formula unit. Number 5: calculated formation energy 1.58 eV per formula unit. Number 6: calculated formation energy 3.11 eV per formula unit. Number 7: calculated formation energy 3.43 eV per formula unit. Number 8: calculated formation energy 3.18 eV per formula unit.